# LiV2IrO8 | Alexandria | GGA+U | relaxed
data_LiV2IrO8
_symmetry_space_group_name_H-M 'P -3 m 1'
_symmetry_Int_Tables_number 164
_symmetry_space_group_name_Hall '-P 3 2"'
_cell_length_a 5.7763
_cell_length_b 5.7763
_cell_length_c 5.4378
_cell_angle_alpha 90.00
_cell_angle_beta 90.00
_cell_angle_gamma 120.00
loop_
_atom_site_label
_atom_site_fract_x
_atom_site_fract_y
_atom_site_fract_z
Li1 0.0000 0.0000 0.0000
V1 0.3333 0.6667 0.6411
Ir1 0.0000 0.0000 0.5000
O1 0.1567 0.3134 0.7209
O2 0.3333 0.6667 0.3442
# Fermi-level density of states = 4.508 states/eV/cell
# E_tot = -6.88 eV/atom